[1]
The following is a PBE calculation of a relaxed NaCaS crystal, from the Alexandria database.

Output
- Fermi-level density of states: 1.08 states/eV/f.u.
- Raw formation energy: -1137 meV/atom
- Crystal system: trigonal

Cell: 6.734 4.085 4.085 Å, 120.00 90.00 90.00°
Fractional coordinates of all 3 atoms:
S: 0.649 0.333 0.667
Na: 0.901 0.000 0.000
Ca: 0.450 0.667 0.333

[2]
The following is a PBE calculation of a relaxed NaCa5S6 crystal, from the Alexandria database.

Output
- Fermi-level density of states: 7.39 states/eV/f.u.
- Raw formation energy: -1855 meV/atom
- Crystal system: monoclinic

Cell: 7.000 7.005 7.008 Å, 60.01 80.40 70.50°
Fractional coordinates of all 12 atoms:
S: 0.254 0.256 0.000
Ca: 0.000 0.667 0.666
S: 0.254 0.575 0.341
Na: 0.000 0.000 0.000
Ca: 0.500 0.164 0.672
S: 0.254 0.915 0.659
S: 0.746 0.425 0.659
Ca: 0.500 0.500 0.000
Ca: 0.000 0.333 0.334
S: 0.746 0.744 0.000
S: 0.746 0.085 0.341
Ca: 0.500 0.836 0.328

[3]
The following is a PBE calculation of a relaxed Na2CaS crystal, from the Alexandria database.

Output
- Fermi-level density of states: 0.54 states/eV/f.u.
- Raw formation energy: -655 meV/atom
- Crystal system: tetragonal

Cell: 9.906 9.906 7.503 Å, 48.69 48.69 90.00°
Fractional coordinates of all 8 atoms:
Na: 0.507 0.125 0.250
Na: 0.375 0.493 0.750
Ca: 0.750 0.250 0.500
Na: 0.875 0.757 0.750
Ca: 0.000 0.000 0.000
S: 0.250 0.750 0.500
Na: 0.243 0.625 0.250
S: 0.500 0.500 0.000

[4]
The following is a PBE calculation of a relaxed NaCaS2 crystal, from the Alexandria database.

Output
- Fermi-level density of states: 5.05 states/eV/f.u.
- Raw formation energy: -1163 meV/atom
- Crystal system: cubic

Cell: 4.887 4.887 4.887 Å, 60.00 60.00 60.00°
Fractional coordinates of all 4 atoms:
S: 0.250 0.250 0.250
S: 0.750 0.750 0.750
Ca: 0.500 0.500 0.500
Na: 0.000 0.000 0.000

[5]
The following is a PBE calculation of a relaxed Na3CaSb2S6 crystal, from the Alexandria database.

Output
- Fermi-level density of states: 7.34 states/eV/f.u.
- Raw formation energy: -927 meV/atom
- Crystal system: monoclinic

Cell: 6.863 6.863 7.137 Å, 99.27 99.27 120.01°
Fractional coordinates of all 12 atoms:
Na: 0.500 0.500 0.500
S: 0.421 0.075 0.228
S: 0.925 0.579 0.772
S: 0.579 0.925 0.772
Sb: 0.667 0.333 0.000
Na: 0.832 0.168 0.500
S: 0.733 0.733 0.232
S: 0.267 0.267 0.768
Na: 0.168 0.832 0.500
Sb: 0.333 0.667 0.000
S: 0.075 0.421 0.228
Ca: 0.000 0.000 0.000

[6]
The following is a PBE calculation of a relaxed NaCa2SnS crystal, from the Alexandria database.

Output
- Fermi-level density of states: 6.70 states/eV/f.u.
- Raw formation energy: -907 meV/atom
- Crystal system: tetragonal

Cell: 5.375 5.126 5.375 Å, 90.00 90.00 90.00°
Fractional coordinates of all 5 atoms:
Na: 0.000 0.500 0.000
S: 0.000 0.000 0.000
Ca: 0.000 0.000 0.500
Sn: 0.500 0.500 0.500
Ca: 0.500 0.000 0.000

Q: Look up the Fermi-level density of states of the third one.
A: 0.54 states/eV/f.u.